[1]
# Pu2ThCd2Sn2 | Alexandria via LeMat-Bulk | PBE | optimized geometry
# - DOS(E_F): 38.463 states/eV/cell
# - Energy of formation: -92.7 kJ/mol of formula units
data_Pu2ThCd2Sn2
_space_group_name_H-M_alt 'R -3 m'
_space_group_IT_number 166
_space_group_name_Hall '-R 3 2"'
_cell_length_a 5.0527
_cell_length_b 5.0527
_cell_length_c 25.2221
_cell_angle_alpha 90.00
_cell_angle_beta 90.00
_cell_angle_gamma 120.00
loop_
_atom_site_label
_atom_site_fract_x
_atom_site_fract_y
_atom_site_fract_z
Pu1 0.0000 0.0000 0.1410
Th1 0.0000 0.0000 0.0000
Cd1 0.0000 0.0000 0.4263
Sn1 0.0000 0.0000 0.2686



[2]
# SrPuCd10 | Alexandria via LeMat-Bulk | PBE | optimized geometry
# - DOS(E_F): 19.771 states/eV/cell
# - Energy of formation: -108.2 kJ/mol of formula units
data_SrPuCd10
_space_group_name_H-M_alt 'P m m m'
_space_group_IT_number 47
_cell_length_a 4.908
_cell_length_b 5.949
_cell_length_c 10.359
_cell_angle_alpha 90.00
_cell_angle_beta 90.00
_cell_angle_gamma 90.00
loop_
_space_group_symop_operation_xyz
'x,y,z'
'-x,-y,-z'
'-x,-y,z'
'x,y,-z'
'x,-y,-z'
'-x,y,z'
'-x,y,-z'
'x,-y,z'
loop_
_atom_site_label
_atom_site_fract_x
_atom_site_fract_y
_atom_site_fract_z
Sr1 0.000 0.000 0.000
Pu1 0.000 0.500 0.500
Cd1 0.000 0.000 0.338
Cd2 0.000 0.500 0.171
Cd3 0.500 0.000 0.500
Cd4 0.500 0.253 0.256
Cd5 0.500 0.500 0.000



[3]
# SrPuCd | Alexandria via LeMat-Bulk | PBE | optimized geometry
# - DOS(E_F): 37.099 states/eV/cell
# - Energy of formation: 4.8 kJ/mol of formula units
data_SrPuCd
_space_group_name_H-M_alt 'I m m a'
_space_group_IT_number 74
_space_group_name_Hall '-I 2b 2'
_cell_length_a 5.900
_cell_length_b 6.926
_cell_length_c 9.567
_cell_angle_alpha 90.00
_cell_angle_beta 90.00
_cell_angle_gamma 90.00
loop_
_atom_site_label
_atom_site_fract_x
_atom_site_fract_y
_atom_site_fract_z
Sr1 0.000 0.250 0.120
Pu1 0.250 0.250 0.750
Cd1 0.000 0.000 0.500



no.,magnetic moment (μB per formula unit),E_tot (eV per atom)
1,12.71,-6.697
2,5.91,-2.191
3,6.50,-5.626